! AlCo (SCAN, PBEsol geometry); values from VASP
! Crystal system   cubic
! Calculated volume   11.2 Å³ per atom
! Formation energy   -0.6422 eV per atom
! Total energy   -26.34 eV per cell
&SYSTEM
  ibrav = 0, nat = 2, ntyp = 2
/
ATOMIC_SPECIES
Al 26.98 Al.upf
Co 58.93 Co.upf
CELL_PARAMETERS angstrom
-1.883 0.270 -2.085
-1.645 -1.932 1.236
-1.309 2.040 1.446
ATOMIC_POSITIONS crystal
Al 0.500 0.500 0.500
Co 0.000 0.000 0.000



! Al5Co4 (SCAN, PBEsol geometry); values from VASP
! Crystal system   tetragonal
! Calculated volume   12.1 Å³ per atom
! Formation energy   -0.1566 eV per atom
! Total energy   -109.39 eV per cell
&SYSTEM
  ibrav = 0, nat = 9, ntyp = 2
/
ATOMIC_SPECIES
Co 58.93 Co.upf
Al 26.98 Al.upf
CELL_PARAMETERS angstrom
-3.379 0.555 -1.600
-0.273 -2.887 -4.888
-3.629 -3.977 1.821
ATOMIC_POSITIONS crystal
Co 0.663 0.337 0.337
Co 0.337 0.663 0.663
Co 0.000 0.337 0.663
Al 0.326 0.347 0.000
Al 0.000 0.000 0.000
Al 0.674 0.000 0.653
Al 0.326 0.000 0.347
Al 0.674 0.653 0.000
Co 0.000 0.663 0.337



! AlCo5 (SCAN, PBEsol geometry); values from VASP
! Offset from the most stable computed form   65 meV per atom
! Crystal system   hexagonal
! Calculated volume   10.7 Å³ per atom
! Formation energy   -0.0842 eV per atom
! Total energy   -94.78 eV per cell
&SYSTEM
  ibrav = 0, nat = 6, ntyp = 2
/
ATOMIC_SPECIES
Co 58.93 Co.upf
Al 26.98 Al.upf
CELL_PARAMETERS angstrom
-3.131 0.726 -2.420
2.368 -1.118 -3.399
-2.297 -2.966 2.083
ATOMIC_POSITIONS crystal
Co 0.000 0.000 0.660
Co 0.000 0.340 0.340
Co 0.000 0.660 0.000
Al 0.500 0.000 0.000
Co 0.500 0.667 0.333
Co 0.500 0.333 0.667



! Al5Co2 (SCAN, PBEsol geometry); values from VASP
! Crystal system   hexagonal
! Calculated volume   13.5 Å³ per atom
! Formation energy   -0.4544 eV per atom
! Total energy   -306.20 eV per cell
&SYSTEM
  ibrav = 0, nat = 28, ntyp = 2
/
ATOMIC_SPECIES
Al 26.98 Al.upf
Co 58.93 Co.upf
CELL_PARAMETERS angstrom
-0.449 -2.886 6.933
7.438 -1.578 -0.175
-2.401 6.716 2.640
ATOMIC_POSITIONS crystal
Al 0.440 0.389 0.194
Al 0.060 0.806 0.194
Al 0.560 0.611 0.806
Al 0.250 0.467 0.533
Co 0.250 0.127 0.873
Al 0.940 0.194 0.806
Al 0.060 0.389 0.194
Co 0.250 0.667 0.333
Al 0.060 0.806 0.611
Co 0.250 0.746 0.873
Co 0.750 0.873 0.746
Al 0.440 0.806 0.611
Al 0.560 0.194 0.806
Co 0.750 0.873 0.127
Al 0.940 0.194 0.389
Al 0.750 0.533 0.065
Co 0.750 0.333 0.667
Al 0.940 0.611 0.806
Al 0.250 0.467 0.935
Al 0.250 0.065 0.533
Al 0.560 0.194 0.389
Al 0.500 0.000 0.000
Co 0.250 0.127 0.254
Al 0.750 0.935 0.467
Al 0.000 0.000 0.000
Co 0.750 0.254 0.127
Al 0.750 0.533 0.467
Al 0.440 0.806 0.194